The following is a DFT calculation (PBE) of a geometry-optimized AcPrCd3 structure.

Unit cell a=5.1267 b=3.7927 c=15.3995 alpha=97.07 beta=90.00 gamma=90.00
Closest atoms and distances in Å follow each position.
Positions (direct):
Ac  0.2500  0.0748  0.1496  12 Cd 3.51-3.64, 2 Ac 3.79
Ac  0.7500  0.9252  0.8504  12 Cd 3.51-3.64, 2 Ac 3.79
Pr  0.2500  0.7873  0.5746  7 Cd 3.35-3.39
Pr  0.7500  0.2127  0.4254  7 Cd 3.35-3.39
Cd  0.2500  0.3775  0.7549  3 Cd 3.01-3.05, 2 Pr 3.35
Cd  0.7500  0.6225  0.2451  3 Cd 3.01-3.05, 2 Pr 3.35
Cd  0.2500  0.4760  0.9519  3 Cd 2.95-3.01
Cd  0.7500  0.5240  0.0481  3 Cd 2.95-3.01
Cd  0.7500  0.3235  0.6469  2 Cd 3.05, 5 Pr 3.37-3.39
Cd  0.2500  0.6765  0.3531  2 Cd 3.05, 5 Pr 3.37-3.39

***

The following is a DFT calculation (PBE) of a geometry-optimized Ac2PrCd structure.

Unit cell a=3.9846 b=3.9846 c=9.4690 alpha=90.00 beta=90.00 gamma=90.00
Closest atoms and distances in Å follow each position.
Positions (direct):
Pr  0.5000  0.5000  0.5000  8 Ac 3.85, 4 Pr 3.98
Ac  0.0000  0.0000  0.7770  4 Cd 3.52, 4 Pr 3.85
Ac  0.0000  0.0000  0.2230  4 Cd 3.52, 4 Pr 3.85
Cd  0.5000  0.5000  0.0000  8 Ac 3.52

Output
energy above the most stable polymorph in this dataset	0.0000	eV/atom

***

The following is a DFT calculation (PBE) of a geometry-optimized Ac4Pr5Cd structure.

Unit cell a=3.8753 b=3.8753 c=25.2154 alpha=90.00 beta=90.00 gamma=90.00
Closest atoms and distances in Å follow each position.
Positions (direct):
Ac  0.0000  0.0000  0.1823  8 Pr 3.80-3.82, 4 Ac 3.88
Ac  0.0000  0.0000  0.3943  8 Pr 3.82-3.83, 4 Ac 3.88
Ac  0.0000  0.0000  0.6057  8 Pr 3.82-3.83, 4 Ac 3.88
Ac  0.0000  0.0000  0.8177  8 Pr 3.80-3.82, 4 Ac 3.88
Pr  0.5000  0.5000  0.0779  4 Cd 3.37
Pr  0.5000  0.5000  0.2879  8 Ac 3.82-3.83, 4 Pr 3.88
Pr  0.5000  0.5000  0.5000  8 Ac 3.82, 4 Pr 3.88
Pr  0.5000  0.5000  0.7121  8 Ac 3.82-3.83, 4 Pr 3.88
Pr  0.5000  0.5000  0.9221  4 Cd 3.37
Cd  0.0000  0.0000  0.0000  8 Pr 3.37

***

The following is a DFT calculation (PBE) of a geometry-optimized Ac3PrCd structure.

Unit cell a=7.4377 b=10.4098 c=10.6568 alpha=106.85 beta=90.00 gamma=90.00
Closest atoms and distances in Å follow each position.
Positions (direct):
Ac  0.1081  0.2337  0.1908  2 Cd 3.42-3.65, 3 Pr 3.47-3.67, 1 Ac 3.65
Ac  0.8919  0.7663  0.8092  2 Cd 3.42-3.65, 3 Pr 3.47-3.67, 1 Ac 3.65
Ac  0.6081  0.2663  0.3092  2 Cd 3.42-3.65, 3 Pr 3.47-3.67, 1 Ac 3.65
Ac  0.3919  0.7337  0.6908  2 Cd 3.42-3.65, 3 Pr 3.47-3.67, 1 Ac 3.65
Ac  0.3413  0.6114  0.2642  3 Cd 3.46-3.64
Ac  0.6587  0.3886  0.7358  3 Cd 3.46-3.64
Ac  0.8413  0.8886  0.2358  3 Cd 3.46-3.64
Ac  0.1587  0.1114  0.7642  3 Cd 3.46-3.64
Ac  0.6725  0.9923  0.6212  2 Cd 3.40-3.48, 2 Ac 3.65-3.68, 1 Pr 3.71
Ac  0.3275  0.0077  0.3788  2 Cd 3.40-3.48, 2 Ac 3.65-3.68, 1 Pr 3.71
Ac  0.1725  0.5077  0.8788  2 Cd 3.40-3.48, 2 Ac 3.65-3.68, 1 Pr 3.71
Ac  0.8275  0.4923  0.1212  2 Cd 3.40-3.48, 2 Ac 3.65-3.68, 1 Pr 3.71
Pr  0.7722  0.5794  0.4824  1 Cd 3.16, 1 Ac 3.47
Pr  0.2278  0.4206  0.5176  1 Cd 3.16, 1 Ac 3.47
Pr  0.2722  0.9206  0.0176  1 Cd 3.16, 1 Ac 3.47
Pr  0.7278  0.0794  0.9824  1 Cd 3.16, 1 Ac 3.47
Cd  0.4410  0.3085  0.0013  1 Pr 3.16, 4 Ac 3.40-3.48
Cd  0.5590  0.6915  0.9987  1 Pr 3.16, 4 Ac 3.40-3.48
Cd  0.9410  0.1915  0.4987  1 Pr 3.16, 4 Ac 3.40-3.48
Cd  0.0590  0.8085  0.5013  1 Pr 3.16, 4 Ac 3.40-3.48

Output
energy above the most stable polymorph in this dataset	0.0108	eV/atom

***

| no. | calculated volume (Å³/cell) | raw total energy (eV/atom) | energy of formation from the pure elements (kJ/mol of formula units) |
| --- | --- | --- | --- |
| 1 | 297.15 | -2.630 | -147 |
| 2 | 150.34 | -3.616 | -53 |
| 3 | 378.68 | -4.176 | -50 |
| 4 | 789.67 | -3.608 | -2 |